<i>
Here is crystalline AcTm2Sc at its relaxed geometry from Alexandria via LeMat-Bulk. Energies are from PBE.

The structure in CIF format:
```
data_AcTm2Sc
_cell_length_a 4.9691
_cell_length_b 4.9691
_cell_length_c 5.1788
_cell_angle_alpha 90.00
_cell_angle_beta 90.00
_cell_angle_gamma 90.00
_space_group_name_H-M_alt 'P 4/m m m'
_space_group_IT_number 123
_space_group_name_Hall '-P 4 2'
loop_
_atom_site_label
_atom_site_type_symbol
_atom_site_fract_x
_atom_site_fract_y
_atom_site_fract_z
Ac1 Ac 0.0000 0.0000 0.0000
Tm1 Tm 0.0000 0.5000 0.5000
Sc1 Sc 0.5000 0.5000 0.0000
```

Properties
- Volume: 127.9 Å³/cell
- DOS(E_F): 7.660 states/eV/f.u.

***

<ii>
Here is crystalline AcTm2Sc at its relaxed geometry from Alexandria via LeMat-Bulk. Energies are from PBE.

The structure in CIF format:
```
data_AcTm2Sc
_cell_length_a 3.9340
_cell_length_b 3.9340
_cell_length_c 8.4068
_cell_angle_alpha 90.00
_cell_angle_beta 90.00
_cell_angle_gamma 90.00
_space_group_name_H-M_alt 'P 4/m m m'
_space_group_IT_number 123
_space_group_name_Hall '-P 4 2'
loop_
_atom_site_label
_atom_site_type_symbol
_atom_site_fract_x
_atom_site_fract_y
_atom_site_fract_z
Ac1 Ac 0.0000 0.0000 0.0000
Tm1 Tm 0.5000 0.5000 0.2930
Sc1 Sc 0.0000 0.0000 0.5000
```

Properties
- Volume: 130.1 Å³/cell
- DOS(E_F): 6.239 states/eV/f.u.

***

<iii>
Here is crystalline AcTm2Sc at its relaxed geometry from Alexandria via LeMat-Bulk. Energies are from PBE.

The structure in CIF format:
```
data_AcTm2Sc
_cell_length_a 3.6070
_cell_length_b 3.6070
_cell_length_c 34.1653
_cell_angle_alpha 90.00
_cell_angle_beta 90.00
_cell_angle_gamma 120.00
_space_group_name_H-M_alt 'R 3 m'
_space_group_IT_number 160
_space_group_name_Hall 'R 3 -2"'
loop_
_atom_site_label
_atom_site_type_symbol
_atom_site_fract_x
_atom_site_fract_y
_atom_site_fract_z
Ac1 Ac 0.0000 0.0000 0.0000
Tm1 Tm 0.0000 0.0000 0.5758
Tm2 Tm 0.0000 0.0000 0.7563
Sc1 Sc 0.0000 0.0000 0.1655
```

Properties
- Volume: 385.0 Å³/cell
- DOS(E_F): 5.408 states/eV/f.u.

***

Stability, descending: <ii>, <i>, <iii>

***

<i>
Here is crystalline AcTm2Sc at its relaxed geometry from Alexandria via LeMat-Bulk. Energies are from PBE.

The structure in CIF format:
```
data_AcTm2Sc
_cell_length_a 8.0205
_cell_length_b 8.0205
_cell_length_c 8.0205
_cell_angle_alpha 90.00
_cell_angle_beta 90.00
_cell_angle_gamma 90.00
_space_group_name_H-M_alt 'F m -3 m'
_space_group_IT_number 225
_space_group_name_Hall '-F 4 2 3'
loop_
_atom_site_label
_atom_site_type_symbol
_atom_site_fract_x
_atom_site_fract_y
_atom_site_fract_z
Ac1 Ac 0.0000 0.0000 0.0000
Tm1 Tm 0.2500 0.2500 0.2500
Sc1 Sc 0.0000 0.0000 0.5000
```

Properties
- Volume: 515.9 Å³/cell
- DOS(E_F): 6.176 states/eV/f.u.

***

<ii>
Here is crystalline AcTm2Sc at its relaxed geometry from Alexandria via LeMat-Bulk. Energies are from PBE.

The structure in CIF format:
```
data_AcTm2Sc
_cell_length_a 3.4998
_cell_length_b 3.4998
_cell_length_c 36.7380
_cell_angle_alpha 90.00
_cell_angle_beta 90.00
_cell_angle_gamma 120.00
_space_group_name_H-M_alt 'R -3 m'
_space_group_IT_number 166
_space_group_name_Hall '-R 3 2"'
loop_
_atom_site_label
_atom_site_type_symbol
_atom_site_fract_x
_atom_site_fract_y
_atom_site_fract_z
Ac1 Ac 0.0000 0.0000 0.0000
Tm1 Tm 0.0000 0.0000 0.0953
Sc1 Sc 0.0000 0.0000 0.5000
```

Properties
- Volume: 389.7 Å³/cell
- DOS(E_F): 5.554 states/eV/f.u.

***

Stability, descending: <i>, <ii>